Record 1
SrAuI3 | PBEsol | relaxed

The structure in POSCAR format:
```
SrAuI3
1.0
-1.7852 -5.8283 -1.1331
4.2464 -0.4262 -4.4975
4.1499 -2.0710 4.1145
I Sr Au
3 1 1
Direct
0.0000 0.5000 0.0000 I
0.0000 0.0000 0.5000 I
0.5000 0.0000 0.0000 I
0.0000 0.0000 0.0000 Sr
0.5000 0.5000 0.5000 Au
```

## Properties
total magnetic moment: 0.00 μB per formula unit
V: 238 Å³/cell
uncorrected formation energy: -0.16 eV per atom

Record 2
SrTeAuI2 | PBEsol | relaxed

The structure in POSCAR format:
```
SrTeAuI2
1.0
6.1052 0.0000 0.0000
0.0000 6.1052 0.0000
0.0000 0.0000 6.3896
I Sr Te Au
2 1 1 1
Direct
0.0000 0.5000 0.0000 I
0.5000 0.0000 0.0000 I
0.0000 0.0000 0.0000 Sr
0.0000 0.0000 0.5000 Te
0.5000 0.5000 0.5000 Au
```

## Properties
total magnetic moment: 1.11 μB per formula unit
V: 238 Å³/cell
uncorrected formation energy: 0.17 eV per atom

Record 3
Ta3AuI | PBEsol | relaxed

The structure in POSCAR format:
```
Ta3AuI
1.0
4.9572 0.0000 0.0000
0.0000 4.9572 0.0000
0.0000 0.0000 4.9572
I Au Ta
1 1 3
Direct
0.5000 0.5000 0.5000 I
0.0000 0.0000 0.0000 Au
0.0000 0.5000 0.0000 Ta
0.0000 0.0000 0.5000 Ta
0.5000 0.0000 0.0000 Ta
```

## Properties
total magnetic moment: 0.00 μB per formula unit
V: 122 Å³/cell
uncorrected formation energy: 1.81 eV per atom

Record 4
TaAu3I | PBEsol | relaxed

The structure in POSCAR format:
```
TaAu3I
1.0
5.0954 0.0000 0.0000
0.0000 5.0954 0.0000
0.0000 0.0000 5.0954
I Au Ta
1 3 1
Direct
0.5000 0.5000 0.5000 I
0.0000 0.5000 0.0000 Au
0.0000 0.0000 0.5000 Au
0.5000 0.0000 0.0000 Au
0.0000 0.0000 0.0000 Ta
```

## Properties
total magnetic moment: 0.00 μB per formula unit
V: 132 Å³/cell
uncorrected formation energy: 1.03 eV per atom

Record 5
TaTe2AuI | PBEsol | relaxed

The structure in POSCAR format:
```
TaTe2AuI
1.0
5.2801 0.0000 0.0000
0.0000 5.2984 0.0000
0.0000 0.0000 5.2984
I Te Au Ta
1 2 1 1
Direct
0.5000 0.0000 0.0000 I
0.0000 0.0000 0.5000 Te
0.0000 0.5000 0.0000 Te
0.0000 0.0000 0.0000 Au
0.5000 0.5000 0.5000 Ta
```

## Properties
total magnetic moment: 2.23 μB per formula unit
V: 148 Å³/cell
uncorrected formation energy: 1.22 eV per atom

Record 6
Ta2TlAuI | PBEsol | relaxed

The structure in POSCAR format:
```
Ta2TlAuI
1.0
5.0441 0.0000 0.0000
0.0000 5.0441 0.0000
0.0000 0.0000 5.5835
I Tl Au Ta
1 1 1 2
Direct
0.0000 0.0000 0.5000 I
0.5000 0.5000 0.5000 Tl
0.0000 0.0000 0.0000 Au
0.0000 0.5000 0.0000 Ta
0.5000 0.0000 0.0000 Ta
```

## Properties
total magnetic moment: 2.58 μB per formula unit
V: 142 Å³/cell
uncorrected formation energy: 1.68 eV per atom